Record 1
Compound: NdHfTl2
Source: the Alexandria database
Functional: PBE
Structure: relaxed

abc: 4.8486 4.8486 16.5065
angles: 90.00 90.00 120.00
Space group R-3m (No. 166, hexagonal axes)
Symmetry-distinct sites (fractional):
Nd1 0.0000 0.0000 0.0000 [3 per cell]
Hf1 0.0000 0.0000 0.5000 [3 per cell]
Tl1 0.0000 0.0000 0.2341 [6 per cell]

Summary:
Its formation energy is 0.023 eV/atom. The calculation puts the total energy at -4.8406 eV/atom. The density of states at the Fermi level is 3.96 states/eV/f.u. As for the mass density: 10.843 g cm⁻³.

Record 2
Compound: CuAs2W
Source: the Alexandria database
Functional: PBE
Structure: relaxed

abc: 3.398 4.407 9.564
angles: 90.00 90.00 90.00
Space group Cmm2 (No. 35)
Symmetry-distinct sites (fractional):
Cu1 0.000 0.000 0.000 [2 per cell]
As1 0.000 0.000 0.574 [2 per cell]
As2 0.000 0.500 0.200 [2 per cell]
W1 0.000 0.500 0.786 [2 per cell]

Summary:
Its formation energy is 0.316 eV/atom. The calculation puts the total energy at -6.2712 eV/atom. The density of states at the Fermi level is 2.40 states/eV/f.u. As for the mass density: 9.212 g cm⁻³.

Record 3
Compound: CrRe3Ru
Source: the Alexandria database
Functional: PBE
Structure: relaxed

abc: 4.383 4.383 4.383
angles: 90.00 90.00 90.00
Space group Pm-3m (No. 221)
Symmetry-distinct sites (fractional):
Cr1 0.000 0.000 0.000 [1 per cell]
Re1 0.000 0.000 0.500 [3 per cell]
Ru1 0.500 0.500 0.500 [1 per cell]

Summary:
Its formation energy is 1.645 eV/atom. The calculation puts the total energy at -9.6041 eV/atom. The density of states at the Fermi level is 5.78 states/eV/f.u. As for the mass density: 14.040 g cm⁻³.

Record 4
Compound: ScMn2Ir
Source: the Alexandria database
Functional: PBE
Structure: relaxed

abc: 3.067 3.067 6.666
angles: 90.00 90.00 90.00
Space group P4/mmm (No. 123)
Symmetry-distinct sites (fractional):
Sc1 0.000 0.000 0.000 [1 per cell]
Mn1 0.500 0.500 0.280 [2 per cell]
Ir1 0.000 0.000 0.500 [1 per cell]

Summary:
Its formation energy is 0.002 eV/atom. The calculation puts the total energy at -8.3810 eV/atom. The density of states at the Fermi level is 5.14 states/eV/f.u. As for the mass density: 9.192 g cm⁻³.

Record 5
Compound: KMgIr
Source: the Alexandria database
Functional: PBE
Structure: relaxed

abc: 2.946 4.199 11.946
angles: 90.00 90.00 90.00
Space group Imm2 (No. 44)
Symmetry-distinct sites (fractional):
K1 0.000 0.000 0.000 [2 per cell]
Mg1 0.000 0.000 0.733 [2 per cell]
Ir1 0.000 0.000 0.285 [2 per cell]

Summary:
Its formation energy is 0.242 eV/atom. The calculation puts the total energy at -3.6087 eV/atom. The density of states at the Fermi level is 1.90 states/eV/f.u. As for the mass density: 5.745 g cm⁻³.

Record 6
Compound: Ho3Te4
Source: the Alexandria database
Functional: PBE
Structure: relaxed

abc: 6.125 6.125 12.075
angles: 90.00 90.00 90.00
Space group I4/mmm (No. 139)
Symmetry-distinct sites (fractional):
Ho1 0.000 0.000 0.000 [2 per cell]
Ho2 0.000 0.500 0.250 [4 per cell]
Te1 0.000 0.000 0.257 [4 per cell]
Te2 0.000 0.500 0.000 [4 per cell]

Summary:
The calculation puts the total energy at -5.0992 eV/atom. The density of states at the Fermi level is 3.16 states/eV/f.u. As for the mass density: 7.369 g cm⁻³.

Record 7
Compound: Ce2HgBi
Source: the Alexandria database
Functional: PBE
Structure: relaxed

abc: 4.3292 4.3292 24.6263
angles: 90.00 90.00 120.00
Space group R3m (No. 160, hexagonal axes)
Symmetry-distinct sites (fractional):
Ce1 0.0000 0.0000 0.0000 [3 per cell]
Ce2 0.0000 0.0000 0.1700 [3 per cell]
Hg1 0.0000 0.0000 0.7525 [3 per cell]
Bi1 0.0000 0.0000 0.5844 [3 per cell]

Summary:
Its formation energy is -0.348 eV/atom. The calculation puts the total energy at -4.3611 eV/atom. The density of states at the Fermi level is 15.80 states/eV/f.u. As for the mass density: 8.597 g cm⁻³.

Record 8
Compound: MnRe
Source: the Alexandria database
Functional: PBE
Structure: relaxed

abc: 7.186 7.186 4.312
angles: 90.00 90.00 90.00
Space group P4/mcc (No. 124)
Symmetry-distinct sites (fractional):
Mn1 0.065 0.234 0.000 [8 per cell]
Re1 0.236 0.409 0.500 [8 per cell]

Summary:
Its formation energy is 0.396 eV/atom. The calculation puts the total energy at -10.4132 eV/atom. The density of states at the Fermi level is 2.44 states/eV/f.u. As for the mass density: 14.388 g cm⁻³.

Record 9
Compound: CaLuCdNi
Source: the Alexandria database
Functional: PBE
Structure: relaxed

abc: 7.109 7.109 7.109
angles: 90.00 90.00 90.00
Space group F-43m (No. 216)
Symmetry-distinct sites (fractional):
Ca1 0.000 0.000 0.000 [4 per cell]
Lu1 0.000 0.000 0.500 [4 per cell]
Cd1 0.250 0.250 0.250 [4 per cell]
Ni1 0.250 0.250 0.750 [4 per cell]

Summary:
Its formation energy is -0.160 eV/atom. The calculation puts the total energy at -3.4652 eV/atom. The density of states at the Fermi level is 3.89 states/eV/f.u. As for the mass density: 7.138 g cm⁻³.